# Cu2PbW (GGA-PBE, optimized geometry)
# Formation energy = 0.6534 eV per atom
# E_tot = -5.560 eV/atom
data_Cu2PbW
_chemical_formula_sum 'Cu4 Pb2 W2'
_cell_length_a 10.3596
_cell_length_b 2.9055
_cell_length_c 4.9316
_cell_angle_alpha 90.00
_cell_angle_beta 117.68
_cell_angle_gamma 90.00
_symmetry_space_group_name_H-M 'C 1 m 1'
_symmetry_Int_Tables_number 8
loop_
_symmetry_equiv_pos_as_xyz
'x,y,z'
'x,-y,z'
'x+1/2,y+1/2,z'
'x+1/2,-y+1/2,z'
loop_
_atom_site_label
_atom_site_type_symbol
_atom_site_fract_x
_atom_site_fract_y
_atom_site_fract_z
Cu1 Cu 0.0000 0.0000 0.0000
Cu2 Cu 0.2237 0.5000 0.3716
Pb1 Pb 0.2376 0.0000 0.8664
W1 W 0.4684 0.0000 0.4650